PmBeTeO6 | GGA-PBE | optimized geometry

It has space group P-31c (No. 163), with a = 4.9967 Å, b = 4.9967 Å, c = 10.2675 Å, α = 90.00°, β = 90.00° and γ = 120.00°. The distinct sites, in fractional coordinates, are Pm at (0.0000, 0.0000, 0.0000), Be at (0.3333, 0.6667, 0.2500), Te at (0.3333, 0.6667, 0.7500) and O at (0.0097, 0.3758, 0.1455).

The calculated total energy is -115.82 eV/cell. The uncorrected formation energy is -1.838 eV/atom.